Compound: MoRuO6
Source: Alexandria
Functional: PBE with a Hubbard U
Structure: relaxed

Cell lengths 5.3809, 5.3810, 5.3857 Å; angles 60.03, 60.03, 60.00 degrees
Element x y z (fractional)
O 0.7383 0.2483 0.2477
O 0.2486 0.7666 0.2473
Mo 0.5000 0.5000 0.5000
Ru 0.0000 0.0000 0.0000
O 0.2617 0.7517 0.7523
O 0.7514 0.2334 0.7527
O 0.7663 0.7377 0.2489
O 0.2337 0.2623 0.7511

Calculated values
**Uncorrected energy**: -0.251 hartree per atom
**DOS at the Fermi energy**: 4.38 states/eV per cell